Here is a relaxed ReTcCl2 crystal from the Alexandria database. Energies are from PBE.

Cell: 3.0331 3.2124 17.7641 Å, 90.00 90.00 90.00°
Space group Imm2 (No. 44)
Asymmetric unit:
1 Re 0.0000 0.0000 0.0000 [2 per cell]
2 Tc 0.0000 0.5000 0.9067 [2 per cell]
3 Cl 0.0000 0.0000 0.5975 [2 per cell]
4 Cl 0.0000 0.5000 0.3131 [2 per cell]

Properties
Final energy (eV/atom): -6.397